A plane-wave DFT calculation with PBE-GGA was carried out for a relaxed structure of Nd6SnO12.

- space group = R-3, No. 148
- formation energy without anion corrections (eV/f.u.) = -54.82
- D(E_F) (states/eV/f.u.) = 12.6
- total magnetic moment (μB/f.u.) = 2.122

CIF file:
```
data_Nd6SnO12
_chemical_formula_sum 'Nd6 Sn1 O12'
_cell_length_a 6.7769
_cell_length_b 6.7769
_cell_length_c 6.7769
_cell_angle_alpha 99.00
_cell_angle_beta 99.00
_cell_angle_gamma 99.00
_space_group_name_H-M_alt 'P 1'
_space_group_IT_number 1
loop_
_space_group_symop_operation_xyz
'x,y,z'
loop_
_atom_site_label
_atom_site_type_symbol
_atom_site_fract_x
_atom_site_fract_y
_atom_site_fract_z
Nd1 Nd 0.1377 0.2927 0.6085
Nd2 Nd 0.7073 0.3915 0.8623
Nd3 Nd 0.3915 0.8623 0.7073
Nd4 Nd 0.8623 0.7073 0.3915
Nd5 Nd 0.2927 0.6085 0.1377
Nd6 Nd 0.6085 0.1377 0.2927
Sn1 Sn 0.0000 0.0000 0.0000
O1 O 0.4428 0.1776 0.5868
O2 O 0.1776 0.5868 0.4428
O3 O 0.5868 0.4428 0.1776
O4 O 0.5572 0.8224 0.4132
O5 O 0.8224 0.4132 0.5572
O6 O 0.4132 0.5572 0.8224
O7 O 0.0486 0.9353 0.6962
O8 O 0.3038 0.9514 0.0647
O9 O 0.0647 0.3038 0.9514
O10 O 0.9514 0.0647 0.3038
O11 O 0.6962 0.0486 0.9353
O12 O 0.9353 0.6962 0.0486
```